[1]
Computed, not measured: a relaxed DyCu crystal at the PBE-GGA level of DFT.

Values from the calculation:
The value obtained for the volume is 22.6 Å³/atom. Its space group is No. 194. For the calculated formation energy, the calculation gives -18 meV per atom. The calculated density is 8.303 g/cm3.

Geometry as extended XYZ:
```
4
Lattice="3.817 0.000 0.000 -1.909 3.306 0.000 0.000 0.000 7.165" Properties=species:S:1:pos:R:3 pbc="T T T"
Dy 0.000 0.000 0.000
Dy 0.000 0.000 3.583
Cu 0.000 2.204 1.791
Cu 1.909 1.102 5.374
```



[2]
Computed, not measured: a relaxed Hf4CoSN2 crystal at the PBE-GGA level of DFT.

Values from the calculation:
The value obtained for the volume is 14.2 Å³/atom. Its space group is No. 187. The calculated density is 12.187 g/cm3. For the final energy, the calculation gives -77.4 eV for the cell shown.

Geometry as extended XYZ:
```
8
Lattice="3.223 0.000 0.000 -1.612 2.792 0.000 0.000 0.000 12.613" Properties=species:S:1:pos:R:3 pbc="T T T"
Hf 0.000 0.000 1.815
Hf 0.000 0.000 10.799
Hf 0.000 1.861 4.410
Hf 0.000 1.861 8.203
Co 0.000 0.000 6.307
S 0.000 1.861 0.000
N 1.612 0.931 3.111
N 1.612 0.931 9.503
```



[3]
Computed, not measured: a relaxed LiHoGe crystal at the PBE-GGA level of DFT.

Values from the calculation:
The value obtained for the volume is 20.7 Å³/atom. Its space group is No. 194. The calculated density is 6.551 g/cm3. For the final energy, the calculation gives -26.1 eV for the cell shown.

Geometry as extended XYZ:
```
6
Lattice="4.926 0.000 0.000 -2.463 4.266 0.000 0.000 0.000 5.899" Properties=species:S:1:pos:R:3 pbc="T T T"
Li 0.000 0.000 0.000
Li 0.000 0.000 2.949
Ho 0.000 2.844 1.475
Ho 2.463 1.422 4.424
Ge 0.000 2.844 4.424
Ge 2.463 1.422 1.475
```



[4]
Computed, not measured: a relaxed LaGdMg6 crystal at the PBE-GGA level of DFT.

Values from the calculation:
The value obtained for the volume is 25.5 Å³/atom. Its space group is No. 25. The calculated density is 3.600 g/cm3. For the final energy, the calculation gives -19.7 eV for the cell shown.

Geometry as extended XYZ:
```
8
Lattice="5.244 0.000 0.000 0.000 7.414 0.000 0.000 0.000 5.244" Properties=species:S:1:pos:R:3 pbc="T T T"
La 0.000 0.000 0.000
Gd 2.622 3.707 2.582
Mg 0.000 1.906 2.626
Mg 0.000 3.707 5.242
Mg 0.000 5.508 2.626
Mg 2.622 0.000 2.591
Mg 2.622 1.906 5.201
Mg 2.622 5.507 5.201
```



[5]
Computed, not measured: a relaxed NaZrTlTe3 crystal at the PBE-GGA level of DFT.

Values from the calculation:
The value obtained for the volume is 32.9 Å³/atom. Its space group is No. 62. The calculated density is 5.893 g/cm3. For the final energy, the calculation gives -102.9 eV for the cell shown.

Geometry as extended XYZ:
```
24
Lattice="14.995 0.000 0.000 0.000 4.238 0.000 0.000 0.000 12.441" Properties=species:S:1:pos:R:3 pbc="T T T"
Na 0.659 1.060 1.096
Na 6.839 3.179 7.317
Na 8.156 1.060 5.125
Na 14.336 3.179 11.345
Zr 0.232 3.179 4.242
Zr 7.266 1.060 10.463
Zr 7.729 3.179 1.979
Zr 14.763 1.060 8.199
Tl 3.450 3.179 0.054
Tl 4.047 1.060 6.275
Tl 10.947 3.179 6.167
Tl 11.545 1.060 12.387
Te 1.396 1.060 10.519
Te 1.470 3.179 7.001
Te 2.197 1.060 3.623
Te 5.301 3.179 9.843
Te 6.027 1.060 0.781
Te 6.102 3.179 4.299
Te 8.893 1.060 8.143
Te 8.967 3.179 11.661
Te 9.694 1.060 2.598
Te 12.798 3.179 8.819
Te 13.525 1.060 5.440
Te 13.599 3.179 1.922
```



[6]
Computed, not measured: a relaxed AcNiIr crystal at the PBE-GGA level of DFT.

Values from the calculation:
The value obtained for the volume is 22.0 Å³/atom. Its space group is No. 187. For the calculated formation energy, the calculation gives -476 meV per atom. The calculated density is 12.035 g/cm3.

Geometry as extended XYZ:
```
3
Lattice="4.230 0.000 0.000 -2.115 3.663 0.000 0.000 0.000 4.256" Properties=species:S:1:pos:R:3 pbc="T T T"
Ac 0.000 0.000 0.000
Ni 2.115 1.221 2.128
Ir 0.000 2.442 2.128
```



[7]
Computed, not measured: a relaxed CsTbSO crystal at the PBE-GGA level of DFT.

Values from the calculation:
The value obtained for the volume is 32.7 Å³/atom. Its space group is No. 26. The calculated density is 4.316 g/cm3. For the final energy, the calculation gives -46.6 eV for the cell shown.

Geometry as extended XYZ:
```
8
Lattice="4.423 0.000 0.000 0.000 8.634 0.000 0.000 0.000 6.849" Properties=species:S:1:pos:R:3 pbc="T T T"
Cs 0.000 1.629 0.000
Cs 0.000 7.005 3.424
Tb 2.212 3.284 3.037
Tb 2.212 5.350 6.462
S 0.000 1.854 3.468
S 0.000 6.780 0.043
O 2.212 3.698 0.946
O 2.212 4.936 4.371
```



[8]
Computed, not measured: a relaxed SrGdNO crystal at the PBE-GGA level of DFT.

Values from the calculation:
The value obtained for the volume is 18.2 Å³/atom. Its space group is No. 129. The calculated density is 6.270 g/cm3. For the final energy, the calculation gives -50.0 eV for the cell shown.

Geometry as extended XYZ:
```
8
Lattice="4.162 0.000 0.000 0.000 4.162 0.000 0.000 0.000 8.403" Properties=species:S:1:pos:R:3 pbc="T T T"
Sr 1.041 3.122 0.000
Sr 3.122 1.041 0.000
Gd 1.041 1.041 3.248
Gd 3.122 3.122 5.155
N 1.041 1.041 7.004
N 3.122 3.122 1.400
O 1.041 3.122 4.202
O 3.122 1.041 4.202
```